1.
{"formula": "YZr2Br", "functional": "PBE", "state": "optimized geometry", "n_ef_per_ev_fu": 5.05, "total_energy_ev_per_cell": -25.4, "formation_energy_uncorrected_mev_per_atom": -32.5, "space_group": "No. 65", "cell": [[-2.914, 0.621, 1.461], [0.967, -1.766, 2.637], [3.435, 7.405, 3.701]], "species": ["Y", "Br", "Zr", "Zr"], "fractional_positions": [[0.500, 0.500, 0.750], [0.500, 0.500, 0.250], [0.000, 0.000, 0.020], [0.000, 0.000, 0.480]]}



2.
{"formula": "TlCo2Br", "functional": "PBE", "state": "optimized geometry", "n_ef_per_ev_fu": 6.13, "total_energy_ev_per_cell": -15.1, "formation_energy_uncorrected_mev_per_atom": 780.7, "space_group": "No. 119", "cell": [[-2.386, -3.718, -4.384], [0.501, -6.157, -0.758], [-1.198, 4.583, 4.037]], "species": ["Br", "Co", "Co", "Tl"], "fractional_positions": [[0.750, 0.250, 0.500], [0.250, 0.750, 0.500], [0.000, 0.000, 0.000], [0.500, 0.500, 0.000]]}



3.
{"formula": "Tl2In6Sn3", "functional": "PBE", "state": "optimized geometry", "delta_e_f_ev_per_atom": 0.04, "n_ef_per_ev_fu": 5.19, "total_energy_ev_per_cell": -32.7, "space_group": "No. 12", "cell": [[3.303, 0.000, -0.882], [-0.066, 12.530, -0.249], [0.275, 0.680, 7.660]], "species": ["In", "In", "In", "In", "In", "In", "Sn", "Sn", "Sn", "Tl", "Tl"], "fractional_positions": [[0.038, 0.760, 0.075], [0.288, 0.173, 0.576], [0.363, 0.681, 0.727], [0.962, 0.240, 0.925], [0.712, 0.827, 0.424], [0.637, 0.319, 0.273], [0.677, 0.573, 0.354], [0.323, 0.427, 0.646], [0.000, 0.500, 0.000], [0.888, 0.965, 0.777], [0.112, 0.035, 0.223]]}



4.
{"formula": "LiVFe3", "functional": "PBE", "state": "optimized geometry", "delta_e_f_ev_per_atom": 0.90, "n_ef_per_ev_fu": 5.31, "total_energy_ev_per_cell": -31.9, "space_group": "No. 221", "cell": [[-0.496, -3.717, 1.152], [3.306, -1.015, -1.852], [2.053, 0.737, 3.261]], "species": ["Fe", "Fe", "Fe", "Li", "V"], "fractional_positions": [[0.000, 0.000, 0.500], [0.000, 0.500, 0.000], [0.500, 0.000, 0.000], [0.000, 0.000, 0.000], [0.500, 0.500, 0.500]]}



5.
{"formula": "Ca2ScInAu6", "functional": "PBE", "state": "optimized geometry", "delta_e_f_ev_per_atom": -0.15, "n_ef_per_ev_fu": 4.79, "total_energy_ev_per_cell": -34.2, "space_group": "No. 225", "cell": [[-2.008, 0.289, -7.096], [1.260, -7.243, -0.652], [-5.316, -4.459, -2.516]], "species": ["Ca", "Ca", "Au", "Au", "Au", "Au", "Au", "Au", "Sc", "In"], "fractional_positions": [[0.750, 0.250, 0.500], [0.250, 0.750, 0.500], [0.747, 0.747, 0.000], [0.253, 0.253, 0.000], [0.747, 0.747, 0.506], [0.253, 0.253, 0.494], [0.253, 0.747, 0.000], [0.747, 0.253, 0.000], [0.500, 0.500, 0.000], [0.000, 0.000, 0.000]]}



6.
{"formula": "Ac3La2NdSe6", "functional": "PBE", "state": "optimized geometry", "n_ef_per_ev_fu": 6.46, "total_energy_ev_per_cell": -70.7, "formation_energy_uncorrected_mev_per_atom": -1906.5, "space_group": "No. 12", "cell": [[-4.189, 0.038, 6.312], [-2.428, -3.693, -6.152], [5.548, -4.701, 2.191]], "species": ["Se", "Se", "Se", "Se", "Se", "Se", "La", "La", "Ac", "Ac", "Ac", "Nd"], "fractional_positions": [[0.921, 0.590, 0.762], [0.251, 0.251, 0.760], [0.079, 0.410, 0.238], [0.410, 0.079, 0.238], [0.749, 0.749, 0.240], [0.590, 0.921, 0.762], [0.334, 0.666, 0.000], [0.666, 0.334, 0.000], [0.500, 0.500, 0.500], [0.167, 0.833, 0.500], [0.833, 0.167, 0.500], [0.000, 0.000, 0.000]]}



7.
{"formula": "Nd3Sm7Er2", "functional": "PBE", "state": "optimized geometry", "delta_e_f_ev_per_atom": 0.09, "n_ef_per_ev_fu": 16.29, "total_energy_ev_per_cell": -55.4, "space_group": "No. 10", "cell": [[-1.195, -1.845, 2.863], [5.586, -1.108, 1.617], [-0.789, 16.178, 10.095]], "species": ["Er", "Er", "Nd", "Nd", "Nd", "Sm", "Sm", "Sm", "Sm", "Sm", "Sm", "Sm"], "fractional_positions": [[0.500, 0.709, 0.295], [0.500, 0.291, 0.705], [0.500, 0.500, 0.000], [0.000, 0.218, 0.366], [0.000, 0.782, 0.634], [0.500, 0.743, 0.464], [0.500, 0.188, 0.180], [0.000, 0.000, 0.000], [0.500, 0.812, 0.820], [0.000, 0.314, 0.855], [0.000, 0.686, 0.145], [0.500, 0.257, 0.536]]}



8.
{"formula": "TmTl3Bi3Te8", "functional": "PBE", "state": "optimized geometry", "n_ef_per_ev_fu": 8.43, "total_energy_ev_per_cell": -54.9, "formation_energy_uncorrected_mev_per_atom": -440.0, "space_group": "No. 12", "cell": [[9.015, 0.000, 0.002], [-4.508, 7.797, -0.024], [0.001, -5.163, 7.892]], "species": ["Tm", "Te", "Te", "Te", "Te", "Te", "Te", "Te", "Te", "Bi", "Bi", "Bi", "Tl", "Tl", "Tl"], "fractional_positions": [[0.000, 0.000, 0.500], [0.237, 0.986, 0.723], [0.257, 0.514, 0.271], [0.237, 0.473, 0.723], [0.251, 0.014, 0.277], [0.743, 0.486, 0.729], [0.749, 0.986, 0.723], [0.763, 0.527, 0.277], [0.763, 0.014, 0.277], [0.000, 0.500, 0.500], [0.500, 0.000, 0.500], [0.500, 0.500, 0.500], [0.500, 0.500, 0.000], [0.000, 0.500, 0.000], [0.000, 0.000, 0.000]]}



Computed magnetization (μB/atom) in order:
0.0000 0.8541 0.0000 0.7837 0.0000 0.0000 0.0000 0.0000